{
  "formula": "Li2TbBiSe4",
  "functional": "PBE-GGA",
  "state": "optimized geometry",
  "dos_ef_per_ev_cell": 0.00,
  "crystal_system": "monoclinic",
  "m_tot_mub_per_fu": 0.0,
  "e_form_raw_ev_per_atom": -1.21,
  "lattice": [[4.114, 0.000, 0.000], [0.000, 6.975, -0.075], [0.000, 2.522, 6.693]],
  "species": ["Se", "Se", "Se", "Se", "Li", "Li", "Tb", "Bi"],
  "frac_coords": [[0.500, 0.756, 0.252], [0.000, 0.238, 0.260], [0.500, 0.244, 0.748], [0.000, 0.762, 0.740], [0.000, 0.000, 0.000], [0.500, 0.000, 0.500], [0.000, 0.500, 0.500], [0.500, 0.500, 0.000]]
}

***

{
  "formula": "Er8Te4Se3N",
  "functional": "PBE-GGA",
  "state": "optimized geometry",
  "dos_ef_per_ev_cell": 5.54,
  "crystal_system": "trigonal",
  "m_tot_mub_per_fu": 0.0,
  "e_form_raw_ev_per_atom": -1.44,
  "lattice": [[8.144, 0.000, 0.000], [0.000, 8.339, 0.131], [-4.072, -4.068, 5.762]],
  "species": ["Se", "Se", "Se", "Er", "Er", "Er", "Er", "Er", "Er", "Er", "Er", "Te", "Te", "Te", "Te", "N"],
  "frac_coords": [[0.000, 0.500, 0.500], [0.500, 0.500, 0.500], [0.500, 0.500, 0.000], [0.787, 0.301, 0.574], [0.787, 0.302, 0.014], [0.739, 0.718, 0.479], [0.227, 0.302, 0.014], [0.213, 0.698, 0.986], [0.261, 0.282, 0.521], [0.213, 0.699, 0.426], [0.773, 0.698, 0.986], [0.000, 0.000, 0.500], [0.000, 0.000, 0.000], [0.500, 0.000, 0.500], [0.500, 0.000, 0.000], [0.000, 0.500, 0.000]]
}

***

{
  "formula": "Dy6AsP2Se3",
  "functional": "PBE-GGA",
  "state": "optimized geometry",
  "dos_ef_per_ev_cell": 4.19,
  "crystal_system": "monoclinic",
  "m_tot_mub_per_fu": 0.0,
  "e_form_raw_ev_per_atom": -1.76,
  "lattice": [[-0.605, -2.966, -2.684], [6.234, 2.785, -4.484], [4.076, -4.331, 6.918]],
  "species": ["Dy", "Dy", "Dy", "Dy", "Dy", "Dy", "Se", "Se", "Se", "As", "P", "P"],
  "frac_coords": [[0.666, 0.100, 0.332], [0.334, 0.900, 0.668], [0.006, 0.247, 0.012], [0.672, 0.572, 0.345], [0.994, 0.753, 0.988], [0.328, 0.428, 0.655], [0.500, 0.500, 0.000], [0.165, 0.833, 0.331], [0.835, 0.167, 0.669], [0.500, 0.000, 0.000], [0.167, 0.334, 0.334], [0.833, 0.666, 0.666]]
}

***

{
  "formula": "KZrW2",
  "functional": "PBE-GGA",
  "state": "optimized geometry",
  "dos_ef_per_ev_cell": 4.29,
  "crystal_system": "monoclinic",
  "relative_energy_mev_per_atom": 252,
  "delta_e_f_ev_per_atom": 0.936,
  "m_tot_mub_per_fu": 0.0,
  "lattice": [[-1.253, -4.744, 0.532], [0.504, 0.171, 2.711], [-6.781, 2.139, 3.110]],
  "species": ["K", "W", "W", "Zr"],
  "frac_coords": [[0.500, 0.750, 0.750], [0.000, 0.972, 0.096], [0.000, 0.528, 0.404], [0.500, 0.250, 0.250]]
}

***

{
  "formula": "Ac2NdDy",
  "functional": "PBE-GGA",
  "state": "optimized geometry",
  "dos_ef_per_ev_cell": 7.06,
  "crystal_system": "trigonal",
  "relative_energy_mev_per_atom": 202,
  "delta_e_f_ev_per_atom": 0.238,
  "m_tot_mub_per_fu": 0.0,
  "lattice": [[3.733, 0.000, 0.000], [1.866, 3.233, 0.000], [1.866, 1.078, 13.167]],
  "species": ["Ac", "Ac", "Nd", "Dy"],
  "frac_coords": [[0.088, 0.088, 0.737], [0.912, 0.912, 0.263], [0.500, 0.500, 0.500], [0.000, 0.000, 0.000]]
}

***

{
  "formula": "KRbCdS2",
  "functional": "PBE-GGA",
  "state": "optimized geometry",
  "crystal_system": "orthorhombic",
  "m_tot_mub_per_fu": 0.0,
  "e_form_raw_ev_per_atom": -0.69,
  "lattice": [[6.801, 0.000, 0.000], [0.000, 5.995, 0.000], [0.000, 0.000, 7.895]],
  "species": ["S", "S", "S", "S", "Rb", "Rb", "Cd", "Cd", "K", "K"],
  "frac_coords": [[0.192, 0.750, 0.773], [0.808, 0.250, 0.773], [0.808, 0.250, 0.227], [0.192, 0.750, 0.227], [0.807, 0.750, 0.500], [0.193, 0.250, 0.500], [0.000, 0.500, 0.000], [0.000, 0.000, 0.000], [0.441, 0.250, 0.000], [0.559, 0.750, 0.000]]
}

***

{
  "formula": "VPdW2",
  "functional": "PBE-GGA",
  "state": "optimized geometry",
  "dos_ef_per_ev_cell": 6.47,
  "crystal_system": "cubic",
  "relative_energy_mev_per_atom": 185,
  "delta_e_f_ev_per_atom": 0.325,
  "m_tot_mub_per_fu": 0.0,
  "lattice": [[0.000, 3.131, 3.131], [3.131, 0.000, 3.131], [3.131, 3.131, 0.000]],
  "species": ["Pd", "W", "W", "V"],
  "frac_coords": [[0.500, 0.500, 0.500], [0.750, 0.750, 0.750], [0.250, 0.250, 0.250], [0.000, 0.000, 0.000]]
}

***

{
  "formula": "CsLiHfO3",
  "functional": "PBE-GGA",
  "state": "optimized geometry",
  "dos_ef_per_ev_cell": 0.00,
  "crystal_system": "orthorhombic",
  "m_tot_mub_per_fu": 0.0,
  "e_form_raw_ev_per_atom": -2.56,
  "lattice": [[5.896, 0.000, 0.000], [0.000, 6.025, 0.000], [0.000, -3.013, 5.468]],
  "species": ["O", "O", "O", "O", "O", "O", "Hf", "Hf", "Li", "Li", "Cs", "Cs"],
  "frac_coords": [[0.000, 0.725, 0.000], [0.750, 0.731, 0.463], [0.250, 0.269, 0.537], [0.000, 0.275, 0.000], [0.500, 0.275, 0.000], [0.500, 0.725, 0.000], [0.750, 0.556, 0.112], [0.250, 0.444, 0.888], [0.250, 0.078, 0.157], [0.750, 0.922, 0.843], [0.250, 0.772, 0.545], [0.750, 0.228, 0.455]]
}

***

{
  "formula": "Sr2LiAuF",
  "functional": "PBE-GGA",
  "state": "optimized geometry",
  "dos_ef_per_ev_cell": 4.21,
  "crystal_system": "tetragonal",
  "m_tot_mub_per_fu": 0.0,
  "e_form_raw_ev_per_atom": -1.38,
  "lattice": [[5.399, 0.000, 0.000], [0.000, 5.399, 0.000], [0.000, 0.000, 4.063]],
  "species": ["Sr", "Sr", "Li", "F", "Au"],
  "frac_coords": [[0.500, 0.000, 0.000], [0.000, 0.500, 0.000], [0.000, 0.000, 0.500], [0.000, 0.000, 0.000], [0.500, 0.500, 0.500]]
}

***

{
  "formula": "LaCe2Mg2Pb2",
  "functional": "PBE-GGA",
  "state": "optimized geometry",
  "dos_ef_per_ev_cell": 12.72,
  "crystal_system": "trigonal",
  "delta_e_f_ev_per_atom": -0.202,
  "m_tot_mub_per_fu": 3.1,
  "lattice": [[-1.186, 2.917, 3.697], [-4.385, -0.349, 2.058], [1.611, -5.694, 8.200]],
  "species": ["Mg", "Mg", "Ce", "Ce", "Pb", "Pb", "La"],
  "frac_coords": [[0.423, 0.423, 0.732], [0.577, 0.577, 0.268], [0.851, 0.851, 0.447], [0.149, 0.149, 0.553], [0.732, 0.732, 0.804], [0.268, 0.268, 0.196], [0.000, 0.000, 0.000]]
}

***

{
  "formula": "Pa2Al9Zn",
  "functional": "PBE-GGA",
  "state": "optimized geometry",
  "dos_ef_per_ev_cell": 9.55,
  "crystal_system": "tetragonal",
  "delta_e_f_ev_per_atom": -0.119,
  "m_tot_mub_per_fu": 0.0,
  "lattice": [[4.256, 0.000, 0.000], [0.000, 4.256, 0.000], [0.000, 0.000, 12.454]],
  "species": ["Al", "Al", "Al", "Al", "Al", "Al", "Al", "Al", "Al", "Pa", "Pa", "Zn"],
  "frac_coords": [[0.500, 0.500, 0.000], [0.000, 0.500, 0.850], [0.500, 0.000, 0.500], [0.500, 0.000, 0.850], [0.500, 0.000, 0.150], [0.000, 0.500, 0.500], [0.000, 0.500, 0.150], [0.500, 0.500, 0.332], [0.500, 0.500, 0.668], [0.000, 0.000, 0.328], [0.000, 0.000, 0.672], [0.000, 0.000, 0.000]]
}

***

{
  "formula": "LiSnIO5",
  "functional": "PBE-GGA",
  "state": "optimized geometry",
  "dos_ef_per_ev_cell": 0.00,
  "crystal_system": "monoclinic",
  "m_tot_mub_per_fu": 0.0,
  "e_form_raw_ev_per_atom": -1.00,
  "lattice": [[5.609, 0.806, -0.188], [-0.866, 5.600, -0.188], [-2.206, -2.980, 7.211]],
  "species": ["Li", "Li", "O", "O", "O", "O", "O", "O", "O", "O", "O", "O", "Sn", "Sn", "I", "I"],
  "frac_coords": [[0.709, 0.291, 0.750], [0.291, 0.709, 0.250], [0.259, 0.743, 0.996], [0.974, 0.026, 0.750], [0.313, 0.318, 0.657], [0.743, 0.259, 0.496], [0.257, 0.741, 0.504], [0.682, 0.687, 0.843], [0.741, 0.257, 0.004], [0.318, 0.313, 0.157], [0.026, 0.974, 0.250], [0.687, 0.682, 0.343], [0.000, 0.000, 0.500], [0.000, 0.000, 0.000], [0.328, 0.672, 0.750], [0.672, 0.328, 0.250]]
}

***

{
  "formula": "PrGdCoAg",
  "functional": "PBE-GGA",
  "state": "optimized geometry",
  "dos_ef_per_ev_cell": 3.65,
  "crystal_system": "cubic",
  "delta_e_f_ev_per_atom": -0.090,
  "m_tot_mub_per_fu": 6.7,
  "lattice": [[5.083, 0.000, 0.000], [2.541, 4.402, 0.000], [2.541, 1.467, 4.150]],
  "species": ["Pr", "Co", "Gd", "Ag"],
  "frac_coords": [[0.750, 0.750, 0.750], [0.000, 0.000, 0.000], [0.250, 0.250, 0.250], [0.500, 0.500, 0.500]]
}

***

{
  "formula": "Sr8GeN2",
  "functional": "PBE-GGA",
  "state": "optimized geometry",
  "dos_ef_per_ev_cell": 6.69,
  "crystal_system": "monoclinic",
  "m_tot_mub_per_fu": 0.0,
  "e_form_raw_ev_per_atom": -0.32,
  "lattice": [[7.109, 0.300, 0.227], [0.409, 8.887, 1.247], [0.409, 3.594, 8.223]],
  "species": ["Sr", "Sr", "Sr", "Sr", "Sr", "Sr", "Sr", "Sr", "Ge", "N", "N"],
  "frac_coords": [[0.249, 0.321, 0.321], [0.751, 0.679, 0.679], [0.257, 0.312, 0.892], [0.743, 0.108, 0.688], [0.718, 0.169, 0.169], [0.257, 0.892, 0.312], [0.743, 0.688, 0.108], [0.282, 0.831, 0.831], [0.000, 0.000, 0.000], [0.620, 0.822, 0.822], [0.380, 0.178, 0.178]]
}

***

{
  "formula": "Ti5B2Rh12",
  "functional": "PBE-GGA",
  "state": "optimized geometry",
  "dos_ef_per_ev_cell": 13.63,
  "crystal_system": "monoclinic",
  "delta_e_f_ev_per_atom": -0.427,
  "m_tot_mub_per_fu": 0.0,
  "lattice": [[5.681, 0.000, 0.000], [-2.840, 8.173, -0.442], [0.000, -3.518, 6.055]],
  "species": ["Rh", "Rh", "Rh", "Rh", "Rh", "Rh", "Rh", "Rh", "Rh", "Rh", "Rh", "Rh", "Ti", "Ti", "Ti", "Ti", "Ti", "B", "B"],
  "frac_coords": [[0.510, 0.020, 0.729], [0.583, 0.705, 0.380], [0.906, 0.299, 0.114], [0.878, 0.295, 0.620], [0.417, 0.295, 0.620], [0.031, 0.062, 0.215], [0.490, 0.980, 0.271], [0.094, 0.701, 0.886], [0.393, 0.299, 0.114], [0.969, 0.938, 0.785], [0.122, 0.705, 0.380], [0.607, 0.701, 0.886], [0.246, 0.492, 0.985], [0.000, 0.000, 0.500], [0.760, 0.519, 0.493], [0.754, 0.508, 0.015], [0.240, 0.481, 0.507], [0.333, 0.000, 0.000], [0.667, 0.000, 0.000]]
}

***

{
  "formula": "Ce3MnCo2Ge6",
  "functional": "PBE-GGA",
  "state": "optimized geometry",
  "dos_ef_per_ev_cell": 14.09,
  "crystal_system": "trigonal",
  "delta_e_f_ev_per_atom": -0.285,
  "m_tot_mub_per_fu": 2.4,
  "lattice": [[6.179, 0.000, 0.000], [-3.089, 5.351, 0.000], [0.000, 0.000, 6.969]],
  "species": ["Ce", "Ce", "Ce", "Ge", "Ge", "Ge", "Ge", "Ge", "Ge", "Mn", "Co", "Co"],
  "frac_coords": [[0.000, 0.000, 0.000], [0.667, 0.333, 0.267], [0.333, 0.667, 0.733], [0.808, 0.192, 0.686], [0.617, 0.808, 0.314], [0.808, 0.617, 0.686], [0.383, 0.192, 0.686], [0.192, 0.808, 0.314], [0.192, 0.383, 0.314], [0.000, 0.000, 0.500], [0.667, 0.333, 0.963], [0.333, 0.667, 0.037]]
}

***

{
  "formula": "ZrInSe2",
  "functional": "PBE-GGA",
  "state": "optimized geometry",
  "dos_ef_per_ev_cell": 2.51,
  "crystal_system": "orthorhombic",
  "m_tot_mub_per_fu": 0.5,
  "e_form_raw_ev_per_atom": -0.83,
  "lattice": [[8.502, -0.004, -0.004], [7.777, 3.434, -0.004], [0.808, 0.170, 3.612]],
  "species": ["In", "Zr", "Se", "Se"],
  "frac_coords": [[0.214, 0.214, 0.287], [0.447, 0.447, 0.553], [0.018, 0.018, 0.982], [0.822, 0.822, 0.678]]
}

***

{
  "formula": "Pm6CuPd2",
  "functional": "PBE-GGA",
  "state": "optimized geometry",
  "dos_ef_per_ev_cell": 19.23,
  "crystal_system": "monoclinic",
  "relative_energy_mev_per_atom": 8,
  "delta_e_f_ev_per_atom": -0.331,
  "m_tot_mub_per_fu": 0.0,
  "lattice": [[-4.969, 0.578, 4.599], [-4.542, -3.748, -4.435], [2.761, -8.775, 4.586]],
  "species": ["Pm", "Pm", "Pm", "Pm", "Pm", "Pm", "Pm", "Pm", "Pm", "Pm", "Pm", "Pm", "Cu", "Cu", "Pd", "Pd", "Pd", "Pd"],
  "frac_coords": [[0.662, 0.461, 0.255], [0.647, 0.180, 0.571], [0.338, 0.539, 0.745], [0.816, 0.668, 0.565], [0.184, 0.332, 0.435], [0.853, 0.680, 0.929], [0.162, 0.039, 0.755], [0.353, 0.820, 0.429], [0.147, 0.320, 0.071], [0.838, 0.961, 0.245], [0.684, 0.168, 0.935], [0.316, 0.832, 0.065], [0.500, 0.500, 0.000], [0.000, 0.000, 0.500], [0.067, 0.622, 0.252], [0.567, 0.878, 0.752], [0.933, 0.378, 0.748], [0.433, 0.122, 0.248]]
}

***

{
  "formula": "ZrMnNbFe2",
  "functional": "PBE-GGA",
  "state": "optimized geometry",
  "dos_ef_per_ev_cell": 6.69,
  "crystal_system": "tetragonal",
  "delta_e_f_ev_per_atom": 0.857,
  "m_tot_mub_per_fu": 1.8,
  "lattice": [[4.203, 0.000, 0.000], [0.000, 4.690, 0.000], [0.000, 0.000, 4.203]],
  "species": ["Zr", "Nb", "Mn", "Fe", "Fe"],
  "frac_coords": [[0.000, 0.500, 0.000], [0.500, 0.500, 0.500], [0.000, 0.000, 0.000], [0.500, 0.000, 0.000], [0.000, 0.000, 0.500]]
}

***

{
  "formula": "Li2Ni3Pd8",
  "functional": "PBE-GGA",
  "state": "optimized geometry",
  "dos_ef_per_ev_cell": 16.61,
  "crystal_system": "monoclinic",
  "delta_e_f_ev_per_atom": 0.017,
  "m_tot_mub_per_fu": 4.1,
  "lattice": [[-3.692, 0.098, 2.707], [2.860, -7.238, 4.164], [-0.764, 6.281, 2.088]],
  "species": ["Ni", "Ni", "Ni", "Pd", "Pd", "Pd", "Pd", "Pd", "Pd", "Pd", "Pd", "Li", "Li"],
  "frac_coords": [[0.000, 0.751, 0.000], [0.500, 0.000, 0.000], [0.000, 0.249, 0.000], [0.091, 0.855, 0.710], [0.346, 0.922, 0.318], [0.654, 0.078, 0.682], [0.190, 0.571, 0.143], [0.810, 0.429, 0.857], [0.654, 0.604, 0.682], [0.909, 0.145, 0.290], [0.346, 0.396, 0.318], [0.637, 0.700, 0.400], [0.363, 0.300, 0.600]]
}

***

{
  "formula": "La2PtBr",
  "functional": "PBE-GGA",
  "state": "optimized geometry",
  "dos_ef_per_ev_cell": 4.97,
  "crystal_system": "tetragonal",
  "relative_energy_mev_per_atom": 126,
  "m_tot_mub_per_fu": 0.0,
  "e_form_raw_ev_per_atom": -1.22,
  "lattice": [[4.279, 0.000, 0.000], [0.000, 4.278, 0.000], [0.000, 0.000, 6.217]],
  "species": ["Br", "La", "La", "Pt"],
  "frac_coords": [[0.500, 0.500, 0.875], [0.500, 0.500, 0.375], [0.000, 0.000, 0.875], [0.000, 0.000, 0.375]]
}

***

{
  "formula": "B2IrOs",
  "functional": "PBE-GGA",
  "state": "optimized geometry",
  "dos_ef_per_ev_cell": 9.26,
  "crystal_system": "tetragonal",
  "relative_energy_mev_per_atom": 394,
  "delta_e_f_ev_per_atom": 0.443,
  "m_tot_mub_per_fu": 0.0,
  "lattice": [[-0.349, 4.074, 2.845], [-4.564, -1.390, 1.431], [-0.795, -0.778, 5.378]],
  "species": ["B", "B", "B", "B", "Os", "Os", "Ir", "Ir"],
  "frac_coords": [[0.125, 0.625, 0.250], [0.875, 0.875, 0.750], [0.625, 0.125, 0.250], [0.375, 0.375, 0.750], [0.250, 0.750, 0.500], [0.500, 0.500, 0.000], [0.000, 0.000, 0.000], [0.750, 0.250, 0.500]]
}

***

{
  "formula": "Pm5Nd3S8",
  "functional": "PBE-GGA",
  "state": "optimized geometry",
  "dos_ef_per_ev_cell": 9.37,
  "crystal_system": "trigonal",
  "m_tot_mub_per_fu": 0.0,
  "e_form_raw_ev_per_atom": -2.03,
  "lattice": [[7.028, 0.000, 4.026], [2.361, 6.619, 4.026], [0.030, 0.021, 8.095]],
  "species": ["S", "S", "S", "S", "S", "S", "S", "S", "Nd", "Nd", "Nd", "Pm", "Pm", "Pm", "Pm", "Pm"],
  "frac_coords": [[0.250, 0.748, 0.752], [0.750, 0.750, 0.248], [0.748, 0.250, 0.752], [0.749, 0.749, 0.754], [0.250, 0.250, 0.752], [0.251, 0.251, 0.246], [0.750, 0.252, 0.248], [0.252, 0.750, 0.248], [0.500, 0.000, 0.500], [0.000, 0.000, 0.500], [0.000, 0.500, 0.500], [0.500, 0.500, 0.500], [0.000, 0.000, 0.000], [0.500, 0.000, 0.000], [0.500, 0.500, 0.000], [0.000, 0.500, 0.000]]
}